VASP calculation (PBE-GGA) on crystalline H3Pd8Se2 at its relaxed geometry.

Unit cell a=7.2847 b=7.2847 c=4.8948 alpha=106.52 beta=106.52 gamma=46.78
Last column: nearest neighbours and their distance in Å.
Positions (direct):
H  0.0000  0.0000  0.0000  2 Pd 1.68
H  0.2686  0.7314  0.5000  6 Pd 1.94-2.15
H  0.7314  0.2686  0.5000  6 Pd 1.94-2.15
Pd  0.0745  0.0745  0.3466  1 H 1.68
Pd  0.1187  0.6214  0.1109  1 H 2.15
Pd  0.3786  0.8813  0.8891  1 H 2.15
Pd  0.4353  0.4353  0.6773  2 H 1.94
Pd  0.5647  0.5647  0.3227  2 H 1.94
Pd  0.6214  0.1187  0.1109  1 H 2.15
Pd  0.8813  0.3786  0.8891  1 H 2.15
Pd  0.9255  0.9255  0.6534  1 H 1.68
Se  0.2564  0.2564  0.7291  6 Pd 2.48-2.57
Se  0.7436  0.7436  0.2709  6 Pd 2.48-2.57

Results
As for the total energy: -4.62 eV per atom. Its size of the total moment is 0.00 μB/f.u. The calculated volume is 180 Å³ per cell. As for the density of states at the Fermi level: 6.235 states/eV per cell.